This record from the Alexandria database describes a relaxed YIr2Rh crystal. The functional is PBE.

Cell and atoms, written as CIF:
```
data_YIr2Rh
_cell_length_a 4.097
_cell_length_b 4.097
_cell_length_c 8.045
_cell_angle_alpha 90.00
_cell_angle_beta 90.00
_cell_angle_gamma 90.00
_space_group_name_H-M_alt 'I -4 m 2'
_space_group_IT_number 119
_space_group_name_Hall 'I -4 -2'
loop_
_atom_site_label
_atom_site_type_symbol
_atom_site_fract_x
_atom_site_fract_y
_atom_site_fract_z
_atom_site_occupancy
Y1 Y 0.000 0.000 0.000 1
Ir1 Ir 0.000 0.000 0.500 1
Ir2 Ir 0.000 0.500 0.250 1
Rh1 Rh 0.000 0.500 0.750 1
```

Computed properties:
For the total moment, the calculation gives 0.0 μB per cell. Its total energy is -65.38 eV per cell. For the formation energy from the elements, the calculation gives -288 meV per atom. The volume comes out at 135.00 Å³/cell. The density of states at the Fermi level comes out at 7.2 states/eV/cell. The energy above the most stable polymorph in this dataset is 125 meV/atom.